DFT (PBE-GGA) results for an optimized crystal structure of Tb4YIn.

Summary:
**Symmetry**: C2/c
**Crystal system**: monoclinic
**E**: -0.3487 Ry/atom

Cell lengths 6.068, 6.068, 11.837 Å; angles 105.38, 105.38, 60.05 degrees
Positions (direct):
Tb: 0.158 0.683 0.502
Tb: 0.251 0.414 0.750
Tb: 0.317 0.842 0.998
Tb: 0.414 0.251 0.250
Tb: 0.586 0.749 0.750
Tb: 0.683 0.158 0.002
Tb: 0.749 0.586 0.250
Tb: 0.842 0.317 0.498
Y: 0.000 0.500 0.000
Y: 0.500 0.000 0.500
In: 0.087 0.913 0.250
In: 0.913 0.087 0.750